VASP calculation (GGA-PBE) on a relaxed structure of AcPr2DyHo.

Unit cell a=6.4757 b=5.9437 c=9.9030 alpha=90.00 beta=108.96 gamma=90.00
Space group P2_1/m (No. 11)
Inequivalent atoms, fractional coordinates:
Ac: 0.1374 0.2500 0.1048 (multiplicity 2)
Pr: 0.2674 0.7500 0.7007 (multiplicity 2)
Pr: 0.3391 0.2500 0.5035 (multiplicity 2)
Dy: 0.0633 0.7500 0.3064 (multiplicity 2)
Ho: 0.4748 0.7500 0.1026 (multiplicity 2)

Properties
Total magnetic moment (μB/f.u.): 0.0
Calculated total energy (eV/atom): -4.524
Energy relative to the elements (eV/atom): 0.045
Calculated volume (Å³ per atom): 36.048



VASP calculation (GGA-PBE) on a relaxed structure of AcPr5Dy2Ho.

Unit cell a=5.6040 b=24.6534 c=9.5544 alpha=90.00 beta=90.00 gamma=90.00
Space group Cmc2_1 (No. 36)
Inequivalent atoms, fractional coordinates:
Ac: 0.0000 0.1023 0.0000 (multiplicity 4)
Pr: 0.0000 0.0243 0.3281 (multiplicity 4)
Pr: 0.0000 0.1071 0.6053 (multiplicity 4)
Pr: 0.0000 0.1901 0.2952 (multiplicity 4)
Pr: 0.0000 0.2413 0.9344 (multiplicity 4)
Pr: 0.0000 0.4899 0.1110 (multiplicity 4)
Dy: 0.0000 0.3258 0.2502 (multiplicity 4)
Dy: 0.0000 0.3878 0.8564 (multiplicity 4)
Ho: 0.0000 0.2634 0.6079 (multiplicity 4)

Properties
Total magnetic moment (μB/f.u.): 0.0
Calculated total energy (eV/atom): -4.502
Energy relative to the elements (eV/atom): 0.141
Calculated volume (Å³ per atom): 36.667



Question: Which value of energy relative to the elements does entry 1 give?
Answer: 0.045 eV/atom